! Cs5Au2F (GGA-PBE, relaxed); values from VASP
! Magnetic moment in μB/cell: 0.0
! E_tot in eV for the cell shown: -37.98
! Space group: Cmcm
&SYSTEM
  ibrav = 0, nat = 16, ntyp = 3
/
ATOMIC_SPECIES
Cs 132.91 Cs.upf
F 19.00 F.upf
Au 196.97 Au.upf
CELL_PARAMETERS angstrom
7.125 0.000 0.000
-3.563 7.868 0.000
0.000 0.000 16.332
ATOMIC_POSITIONS crystal
Cs 0.291 0.581 0.750
Cs 0.943 0.886 0.625
Cs 0.326 0.652 0.393
Cs 0.943 0.886 0.875
Cs 0.057 0.114 0.375
Cs 0.709 0.419 0.250
Cs 0.674 0.348 0.607
Cs 0.326 0.652 0.107
Cs 0.674 0.348 0.893
Cs 0.057 0.114 0.125
F 0.806 0.612 0.750
F 0.194 0.388 0.250
Au 0.830 0.660 0.436
Au 0.830 0.660 0.064
Au 0.170 0.340 0.936
Au 0.170 0.340 0.564


! Pm7SnIr2 (GGA-PBE, relaxed); values from VASP
! Magnetic moment in μB/cell: 0.0
! E_tot in eV for the cell shown: -58.66
! Space group: P3m1
&SYSTEM
  ibrav = 0, nat = 10, ntyp = 3
/
ATOMIC_SPECIES
Pm 145.00 Pm.upf
Ir 192.22 Ir.upf
Sn 118.71 Sn.upf
CELL_PARAMETERS angstrom
5.229 0.000 0.000
-2.615 4.529 0.000
0.000 0.000 12.318
ATOMIC_POSITIONS crystal
Pm 0.333 0.667 0.439
Pm 0.667 0.333 0.136
Pm 0.667 0.333 0.582
Pm 0.333 0.667 0.940
Pm 0.667 0.333 0.840
Pm 0.000 0.000 0.710
Pm 0.000 0.000 0.297
Ir 0.333 0.667 0.692
Ir 0.667 0.333 0.360
Sn 0.000 0.000 0.020